# 1
VASP calculation (PBE) on an optimized crystal structure of Hf31IrO64.

Computed properties:
distance to the lowest polymorph of the same formula: 2 meV per atom

Structure (POSCAR):
```
Hf31IrO64
1.0
10.018 0.000 0.000
0.036 10.075 0.000
0.026 0.022 10.459
O Hf Ir
64 31 1
direct
0.839 0.057 0.190 O
0.411 0.056 0.440 O
0.907 0.050 0.942 O
0.103 0.749 0.244 O
0.106 0.499 0.759 O
0.105 0.748 0.743 O
0.841 0.304 0.308 O
0.647 0.500 0.508 O
0.339 0.051 0.191 O
0.107 0.501 0.259 O
0.604 0.499 0.758 O
0.103 0.999 0.757 O
0.338 0.306 0.809 O
0.911 0.055 0.441 O
0.401 0.309 0.064 O
0.910 0.306 0.558 O
0.841 0.554 0.192 O
0.343 0.305 0.311 O
0.838 0.056 0.691 O
0.340 0.555 0.691 O
0.339 0.805 0.310 O
0.647 0.751 0.991 O
0.412 0.555 0.441 O
0.603 0.249 0.742 O
0.148 0.491 0.012 O
0.146 0.500 0.509 O
0.146 0.999 0.507 O
0.146 0.994 0.007 O
0.131 0.238 0.977 O
0.103 0.001 0.257 O
0.339 0.805 0.810 O
0.647 0.249 0.492 O
0.144 0.249 0.488 O
0.911 0.805 0.559 O
0.840 0.554 0.691 O
0.604 0.501 0.257 O
0.914 0.556 0.941 O
0.911 0.803 0.059 O
0.410 0.058 0.941 O
0.645 0.999 0.508 O
0.606 0.250 0.242 O
0.839 0.807 0.309 O
0.604 0.001 0.258 O
0.414 0.559 0.941 O
0.643 0.002 0.009 O
0.106 0.250 0.734 O
0.840 0.804 0.808 O
0.646 0.750 0.492 O
0.340 0.564 0.189 O
0.411 0.805 0.559 O
0.605 0.749 0.742 O
0.339 0.054 0.689 O
0.412 0.305 0.558 O
0.606 0.751 0.241 O
0.112 0.252 0.234 O
0.906 0.303 0.056 O
0.648 0.501 0.007 O
0.146 0.745 0.993 O
0.605 0.999 0.758 O
0.146 0.750 0.494 O
0.838 0.303 0.809 O
0.638 0.252 0.992 O
0.913 0.557 0.440 O
0.412 0.807 0.059 O
0.742 0.123 0.357 Hf
0.008 0.124 0.608 Hf
0.505 0.126 0.111 Hf
0.743 0.877 0.140 Hf
0.008 0.374 0.392 Hf
0.739 0.125 0.860 Hf
0.009 0.872 0.892 Hf
0.010 0.622 0.108 Hf
0.740 0.372 0.642 Hf
0.011 0.126 0.104 Hf
0.241 0.124 0.356 Hf
0.009 0.372 0.890 Hf
0.514 0.627 0.107 Hf
0.009 0.875 0.391 Hf
0.509 0.124 0.608 Hf
0.507 0.876 0.892 Hf
0.741 0.374 0.141 Hf
0.510 0.624 0.609 Hf
0.242 0.374 0.640 Hf
0.242 0.622 0.859 Hf
0.240 0.123 0.857 Hf
0.741 0.875 0.642 Hf
0.241 0.872 0.142 Hf
0.009 0.624 0.610 Hf
0.512 0.375 0.392 Hf
0.242 0.627 0.363 Hf
0.742 0.625 0.358 Hf
0.509 0.875 0.391 Hf
0.241 0.874 0.642 Hf
0.742 0.624 0.858 Hf
0.504 0.376 0.892 Hf
0.248 0.392 0.160 Ir
```



# 2
VASP calculation (PBE) on an optimized crystal structure of BaNaHg2.

Computed properties:
distance to the lowest polymorph of the same formula: 2 meV per atom

Structure (POSCAR):
```
BaNaHg2
1.0
7.722 0.000 0.000
0.000 5.765 0.000
0.000 0.000 11.497
Hg Ba Na
8 4 4
direct
0.998 0.750 0.628 Hg
0.000 0.750 0.129 Hg
0.002 0.250 0.372 Hg
0.500 0.250 0.371 Hg
0.498 0.250 0.872 Hg
0.500 0.750 0.629 Hg
0.502 0.750 0.128 Hg
0.000 0.250 0.871 Hg
0.249 0.750 0.878 Ba
0.749 0.250 0.622 Ba
0.751 0.250 0.122 Ba
0.251 0.750 0.378 Ba
0.251 0.250 0.124 Na
0.749 0.750 0.876 Na
0.751 0.750 0.376 Na
0.249 0.250 0.624 Na
```



# 3
VASP calculation (PBE) on an optimized crystal structure of TaGePO.

Computed properties:
distance to the lowest polymorph of the same formula: 90 meV per atom

Structure (POSCAR):
```
TaGePO
1.0
3.871 0.000 0.000
0.000 7.169 0.000
0.000 0.000 4.957
Ta P O Ge
2 2 2 2
direct
0.500 0.131 0.434 Ta
0.500 0.869 0.934 Ta
0.500 0.780 0.433 P
0.500 0.220 0.933 P
0.000 0.849 0.936 O
0.000 0.151 0.436 O
0.000 0.438 0.952 Ge
0.000 0.562 0.452 Ge
```



# 4
VASP calculation (PBE) on an optimized crystal structure of K3Cu7.

Computed properties:
total DFT energy (no corrections): -27.06 eV for the cell shown

Structure (POSCAR):
```
K3Cu7
1.0
-2.437 4.578 -3.889
-2.954 -4.180 3.978
0.401 4.345 4.863
Cu K
7 3
direct
0.606 0.394 0.186 Cu
0.500 0.000 0.000 Cu
0.394 0.606 0.186 Cu
0.500 0.500 0.500 Cu
0.606 0.394 0.814 Cu
0.394 0.606 0.814 Cu
0.000 0.500 0.000 Cu
0.162 0.838 0.500 K
0.838 0.162 0.500 K
0.000 0.000 0.000 K
```



# 5
VASP calculation (PBE) on an optimized crystal structure of Zr5In3Ag.

Computed properties:
total DFT energy (no corrections): -111.67 eV for the cell shown

Structure (POSCAR):
```
Zr5In3Ag
1.0
-2.314 4.417 7.227
0.023 -8.781 0.040
5.687 0.023 1.807
In Ag Zr
6 2 10
direct
0.638 0.638 0.750 In
0.638 0.000 0.250 In
0.362 0.362 0.250 In
0.362 0.000 0.750 In
0.000 0.638 0.250 In
0.000 0.362 0.750 In
0.000 0.000 0.000 Ag
0.000 0.000 0.500 Ag
0.667 0.333 0.000 Zr
0.333 0.667 0.000 Zr
0.000 0.302 0.250 Zr
0.000 0.698 0.750 Zr
0.698 0.698 0.250 Zr
0.698 0.000 0.750 Zr
0.333 0.667 0.500 Zr
0.302 0.000 0.250 Zr
0.302 0.302 0.750 Zr
0.667 0.333 0.500 Zr
```



# 6
VASP calculation (PBE) on an optimized crystal structure of PrNdAs2Pd2.

Computed properties:
total DFT energy (no corrections): -36.31 eV for the cell shown

Structure (POSCAR):
```
PrNdAs2Pd2
1.0
4.384 0.000 0.000
-2.192 3.796 0.000
0.000 0.000 7.872
Nd As Pd Pr
1 2 2 1
direct
0.000 0.000 0.000 Nd
0.667 0.333 0.256 As
0.333 0.667 0.759 As
0.667 0.333 0.744 Pd
0.333 0.667 0.239 Pd
0.000 0.000 0.500 Pr
```



# 7
VASP calculation (PBE) on an optimized crystal structure of CuAg4.

Computed properties:
DFT formation energy: 0.05 eV per atom
distance to the lowest polymorph of the same formula: 29 meV per atom

Structure (POSCAR):
```
CuAg4
1.0
-1.570 -4.354 1.835
1.035 -3.838 2.997
-5.139 7.769 8.074
Ag Cu
8 2
direct
0.596 0.596 0.215 Ag
0.500 0.500 0.500 Ag
0.888 0.888 0.309 Ag
0.404 0.404 0.785 Ag
0.703 0.703 0.896 Ag
0.000 0.000 0.000 Ag
0.112 0.112 0.691 Ag
0.297 0.297 0.104 Ag
0.799 0.799 0.587 Cu
0.201 0.201 0.413 Cu
```



# 8
VASP calculation (PBE) on an optimized crystal structure of NdErCd2Ag4.

Computed properties:
DFT formation energy: -0.28 eV per atom

Structure (POSCAR):
```
NdErCd2Ag4
1.0
-2.697 -3.622 2.108
-1.400 -1.585 -4.514
5.582 -4.288 -0.226
Ag Nd Cd Er
4 1 2 1
direct
0.000 0.500 0.263 Ag
0.500 0.000 0.263 Ag
0.000 0.500 0.737 Ag
0.500 0.000 0.737 Ag
0.500 0.500 0.000 Nd
0.000 0.000 0.000 Cd
0.500 0.500 0.500 Cd
0.000 0.000 0.500 Er
```



# 9
VASP calculation (PBE) on an optimized crystal structure of CsNdHg3S4.

Computed properties:
total DFT energy (no corrections): -28.68 eV for the cell shown

Structure (POSCAR):
```
CsNdHg3S4
1.0
6.930 0.000 0.000
0.000 6.930 0.000
0.000 0.000 6.930
S Hg Nd Cs
4 3 1 1
direct
0.279 0.721 0.721 S
0.721 0.279 0.721 S
0.721 0.721 0.279 S
0.279 0.279 0.279 S
0.000 0.500 0.500 Hg
0.500 0.500 0.000 Hg
0.500 0.000 0.500 Hg
0.500 0.500 0.500 Nd
0.000 0.000 0.000 Cs
```



# 10
VASP calculation (PBE) on an optimized crystal structure of Nd2GdCo2B2P3.

Computed properties:
total DFT energy (no corrections): -66.35 eV for the cell shown

Structure (POSCAR):
```
Nd2GdCo2B2P3
1.0
-1.981 1.981 11.014
1.981 -1.981 11.014
1.981 1.981 -11.014
Gd P B Co Nd
1 3 2 2 2
direct
0.000 0.000 0.000 Gd
0.500 0.500 0.000 P
0.126 0.126 0.000 P
0.874 0.874 0.000 P
0.784 0.784 0.000 B
0.216 0.216 0.000 B
0.250 0.750 0.500 Co
0.750 0.250 0.500 Co
0.361 0.361 0.000 Nd
0.639 0.639 0.000 Nd
```



# 11
VASP calculation (PBE) on an optimized crystal structure of Li2Dy.

Computed properties:
distance to the lowest polymorph of the same formula: 666 meV per atom

Structure (POSCAR):
```
Li2Dy
1.0
0.000 3.527 3.527
3.527 0.000 3.527
3.527 3.527 0.000
Dy Li
1 2
direct
0.000 0.000 0.000 Dy
0.250 0.250 0.250 Li
0.750 0.750 0.750 Li
```



# 12
VASP calculation (PBE) on an optimized crystal structure of DyTmGeI2.

Computed properties:
total DFT energy (no corrections): -22.78 eV for the cell shown

Structure (POSCAR):
```
DyTmGeI2
1.0
4.213 0.000 0.000
-2.106 3.649 0.000
-1.652 -1.319 11.511
Dy Tm Ge I
1 1 1 2
direct
0.257 0.618 0.866 Dy
0.743 0.382 0.134 Tm
0.000 0.000 0.001 Ge
0.490 0.222 0.692 I
0.509 0.778 0.307 I
```



# 13
VASP calculation (PBE) on an optimized crystal structure of TaCoAgSb.

Computed properties:
distance to the lowest polymorph of the same formula: 45 meV per atom

Structure (POSCAR):
```
TaCoAgSb
1.0
0.115 1.979 4.132
-1.656 4.237 0.559
-3.887 0.651 2.338
Co Ag Ta Sb
1 1 1 1
direct
0.750 0.750 0.750 Co
0.250 0.250 0.250 Ag
0.500 0.500 0.500 Ta
0.000 0.000 0.000 Sb
```



# 14
VASP calculation (PBE) on an optimized crystal structure of TaInAgTe2Se.

Computed properties:
total DFT energy (no corrections): -56.14 eV for the cell shown

Structure (POSCAR):
```
TaInAgTe2Se
1.0
1.956 -7.552 0.000
1.956 7.552 0.000
0.000 0.000 10.385
Te Ag Ta In Se
4 2 2 2 2
direct
0.637 0.363 0.531 Te
0.637 0.363 0.969 Te
0.363 0.637 0.031 Te
0.363 0.637 0.469 Te
0.540 0.460 0.750 Ag
0.460 0.540 0.250 Ag
0.000 0.000 0.000 Ta
0.000 0.000 0.500 Ta
0.256 0.744 0.750 In
0.744 0.256 0.250 In
0.927 0.073 0.750 Se
0.073 0.927 0.250 Se
```



# 15
VASP calculation (PBE) on an optimized crystal structure of Lu3SnB2.

Computed properties:
total DFT energy (no corrections): -63.38 eV for the cell shown

Structure (POSCAR):
```
Lu3SnB2
1.0
3.509 0.000 0.000
-1.754 3.039 0.000
0.000 0.000 23.081
Lu Sn B
6 2 4
direct
0.667 0.333 0.363 Lu
0.000 0.000 0.000 Lu
0.667 0.333 0.137 Lu
0.333 0.667 0.637 Lu
0.333 0.667 0.863 Lu
0.000 0.000 0.500 Lu
0.000 0.000 0.250 Sn
0.000 0.000 0.750 Sn
0.667 0.333 0.927 B
0.333 0.667 0.427 B
0.333 0.667 0.073 B
0.667 0.333 0.573 B
```



# 16
VASP calculation (PBE) on an optimized crystal structure of HoFePt.

Computed properties:
DFT formation energy: 0.27 eV per atom

Structure (POSCAR):
```
HoFePt
1.0
0.918 -1.643 4.120
-3.381 -1.012 2.839
-0.924 -4.327 0.970
Fe Ho Pt
1 1 1
direct
0.500 0.500 0.500 Fe
0.250 0.250 0.250 Ho
0.000 0.000 0.000 Pt
```



# 17
VASP calculation (PBE) on an optimized crystal structure of TbPOsO.

Computed properties:
distance to the lowest polymorph of the same formula: 760 meV per atom

Structure (POSCAR):
```
TbPOsO
1.0
-0.288 -1.853 -2.669
7.249 -2.436 0.908
-1.691 -3.945 2.922
P Tb Os O
2 2 2 2
direct
0.500 0.582 0.976 P
0.500 0.418 0.476 P
0.500 0.204 0.979 Tb
0.500 0.796 0.479 Tb
0.000 0.786 0.983 Os
0.000 0.214 0.483 Os
0.000 0.963 0.316 O
0.000 0.037 0.816 O
```



# 18
VASP calculation (PBE) on an optimized crystal structure of Li2TaNbIn2Co2.

Computed properties:
total DFT energy (no corrections): -46.42 eV for the cell shown

Structure (POSCAR):
```
Li2TaNbIn2Co2
1.0
4.347 0.000 0.000
0.000 4.347 0.000
0.000 0.000 6.147
Co Li In Ta Nb
2 2 2 1 1
direct
0.000 0.500 0.749 Co
0.500 0.000 0.251 Co
0.000 0.500 0.250 Li
0.500 0.000 0.750 Li
0.000 0.000 0.500 In
0.500 0.500 0.000 In
0.500 0.500 0.500 Ta
0.000 0.000 0.000 Nb
```



# 19
VASP calculation (PBE) on an optimized crystal structure of NdTaAsO.

Computed properties:
distance to the lowest polymorph of the same formula: 1102 meV per atom

Structure (POSCAR):
```
NdTaAsO
1.0
4.166 0.000 0.000
0.000 4.166 0.000
0.000 0.000 8.145
Ta As O Nd
2 2 2 2
direct
0.500 0.000 0.095 Ta
0.000 0.500 0.905 Ta
0.500 0.000 0.762 As
0.000 0.500 0.238 As
0.000 0.000 0.000 O
0.500 0.500 0.000 O
0.000 0.000 0.500 Nd
0.500 0.500 0.500 Nd
```